No. 1
# AlTcN

Crystalline AlTcN at its relaxed geometry (GGA-PBE, the Alexandria database).

Output
Raw formation energy, eV/f.u.: 0.52
Total magnetization, μB/f.u.: 0.0
Calculated volume, Å³ per cell: 81.7
Space-group type: R-3m

abc: 3.3351 3.3351 8.7018
angles: 78.95 78.95 60.00
With the nearest neighbours (Å) after each atom.
Atoms (fractional coordinates):
Tc  0.2818  0.2818  0.1545  4 N 1.98-2.16
Tc  0.7182  0.7182  0.8455  4 N 1.98-2.16
N  0.3666  0.3666  0.9002  4 Tc 1.98-2.16
N  0.6334  0.6334  0.0998  4 Tc 1.98-2.16
Al  0.8717  0.8717  0.3849  3 Al 2.74, 3 Tc 2.74
Al  0.1283  0.1283  0.6151  3 Al 2.74, 3 Tc 2.74

=====

No. 2
# AlTlTcN2

Crystalline AlTlTcN2 at its relaxed geometry (GGA-PBE, the Alexandria database).

Output
Raw formation energy, eV/f.u.: 12.41
Total magnetization, μB/f.u.: 3.4
Calculated volume, Å³ per cell: 97.1
Space-group type: P4/mmm

abc: 4.1482 5.6404 4.1482
angles: 90.00 90.00 90.00
With the nearest neighbours (Å) after each atom.
Atoms (fractional coordinates):
Tl  0.0000  0.0000  0.0000  4 N 2.07
N  0.0000  0.0000  0.5000  2 Tl 2.07
N  0.5000  0.0000  0.0000  2 Tl 2.07
Tc  0.5000  0.5000  0.5000  4 Al 2.93
Al  0.0000  0.5000  0.0000  2 Tl 2.82, 4 Tc 2.93

=====

No. 3
# AlVTc2N

Crystalline AlVTc2N at its relaxed geometry (GGA-PBE, the Alexandria database).

Output
Raw formation energy, eV/f.u.: 0.06
Total magnetization, μB/f.u.: 0.0
Calculated volume, Å³ per cell: 63.8
Space-group type: P4/mmm

abc: 4.1315 3.7350 4.1315
angles: 90.00 90.00 90.00
With the nearest neighbours (Å) after each atom.
Atoms (fractional coordinates):
N  0.0000  0.0000  0.0000  2 Al 1.87, 4 Tc 2.07
Al  0.0000  0.5000  0.0000  2 N 1.87
Tc  0.0000  0.0000  0.5000  2 N 2.07
Tc  0.5000  0.0000  0.0000  2 N 2.07
V  0.5000  0.5000  0.5000  8 Tc 2.78, 4 Al 2.92

=====

No. 4
# Al3TeN

Crystalline Al3TeN at its relaxed geometry (GGA-PBE, the Alexandria database).

Output
Raw formation energy, eV/f.u.: 1.07
Energy above the most stable polymorph in this dataset, kJ per mole of atoms: 0.00
Total magnetization, μB/f.u.: 0.0
Calculated volume, Å³ per cell: 84.7
Space-group type: Pm-3m

abc: 4.3912 4.3912 4.3912
angles: 90.00 90.00 90.00
With the nearest neighbours (Å) after each atom.
Atoms (fractional coordinates):
Te  0.5000  0.5000  0.5000  12 Al 3.11
Al  0.0000  0.5000  0.0000  2 N 2.20
Al  0.0000  0.0000  0.5000  2 N 2.20
Al  0.5000  0.0000  0.0000  2 N 2.20
N  0.0000  0.0000  0.0000  6 Al 2.20

=====

No. 5
# Al2TeN

Crystalline Al2TeN at its relaxed geometry (GGA-PBE, the Alexandria database).

Output
Raw formation energy, eV/f.u.: 3.75
Energy above the most stable polymorph in this dataset, kJ per mole of atoms: 129.41
Total magnetization, μB/f.u.: 0.0
Calculated volume, Å³ per cell: 66.7
Space-group type: Fm-3m

abc: 4.5518 4.5518 4.5518
angles: 60.00 60.00 60.00
With the nearest neighbours (Å) after each atom.
Atoms (fractional coordinates):
Te  0.5000  0.5000  0.5000  8 Al 2.79
Al  0.2500  0.2500  0.2500  4 Te 2.79, 4 N 2.79
Al  0.7500  0.7500  0.7500  4 N 2.79, 4 Te 2.79
N  0.0000  0.0000  0.0000  8 Al 2.79

=====

No. 6
# AlTe2N2

Crystalline AlTe2N2 at its relaxed geometry (GGA-PBE, the Alexandria database).

Output
Raw formation energy, eV/f.u.: 4.82
Energy above the most stable polymorph in this dataset, kJ per mole of atoms: 0.00
Total magnetization, μB/f.u.: 3.4
Calculated volume, Å³ per cell: 101.1
Space-group type: P4/mmm

abc: 4.0669 4.0669 6.1151
angles: 90.00 90.00 90.00
With the nearest neighbours (Å) after each atom.
Atoms (fractional coordinates):
Te  0.5000  0.5000  0.5000  4 Te 2.88
Te  0.0000  0.0000  0.5000  4 Te 2.88, 2 Al 3.06
Al  0.0000  0.0000  0.0000  4 N 2.03
N  0.0000  0.5000  0.0000  2 Al 2.03
N  0.5000  0.0000  0.0000  2 Al 2.03

=====

No. 7
# AlTe2N2

Crystalline AlTe2N2 at its relaxed geometry (GGA-PBE, the Alexandria database).

Output
Raw formation energy, eV/f.u.: 6.40
Energy above the most stable polymorph in this dataset, kJ per mole of atoms: 30.39
Total magnetization, μB/f.u.: 0.0
Calculated volume, Å³ per cell: 112.3
Space-group type: P4/mmm

abc: 4.0177 4.0177 6.9562
angles: 90.00 90.00 90.00
With the nearest neighbours (Å) after each atom.
Atoms (fractional coordinates):
Te  0.0000  0.0000  0.0000  4 N 2.01
Te  0.0000  0.0000  0.5000  4 Al 2.84
Al  0.5000  0.5000  0.5000  4 Te 2.84
N  0.0000  0.5000  0.0000  2 Te 2.01
N  0.5000  0.0000  0.0000  2 Te 2.01

=====

No. 8
# AlTeN2

Crystalline AlTeN2 at its relaxed geometry (GGA-PBE, the Alexandria database).

Output
Raw formation energy, eV/f.u.: 5.04
Energy above the most stable polymorph in this dataset, kJ per mole of atoms: 117.46
Total magnetization, μB/f.u.: 0.0
Calculated volume, Å³ per cell: 48.2
Space-group type: Fm-3m

abc: 4.0850 4.0850 4.0850
angles: 60.00 60.00 60.00
With the nearest neighbours (Å) after each atom.
Atoms (fractional coordinates):
Te  0.5000  0.5000  0.5000  8 N 2.50
Al  0.0000  0.0000  0.0000  8 N 2.50
N  0.2500  0.2500  0.2500  4 Te 2.50, 4 Al 2.50
N  0.7500  0.7500  0.7500  4 Al 2.50, 4 Te 2.50

=====

No. 9
# Al3TeN

Crystalline Al3TeN at its relaxed geometry (GGA-PBE, the Alexandria database).

Output
Raw formation energy, eV/f.u.: 9.95
Energy above the most stable polymorph in this dataset, kJ per mole of atoms: 171.35
Total magnetization, μB/f.u.: 0.0
Calculated volume, Å³ per cell: 150.9
Space-group type: Pm-3m

abc: 5.3239 5.3239 5.3239
angles: 90.00 90.00 90.00
With the nearest neighbours (Å) after each atom.
Atoms (fractional coordinates):
Te  0.0000  0.0000  0.0000  6 Al 2.66
Al  0.0000  0.5000  0.0000  2 Te 2.66
Al  0.0000  0.0000  0.5000  2 Te 2.66
Al  0.5000  0.0000  0.0000  2 Te 2.66
N  0.5000  0.5000  0.5000  12 Al 3.76

=====

No. 10
# AlTeN3

Crystalline AlTeN3 at its relaxed geometry (GGA-PBE, the Alexandria database).

Output
Raw formation energy, eV/f.u.: 4.97
Total magnetization, μB/f.u.: 0.3
Calculated volume, Å³ per cell: 55.4
Space-group type: Pm-3m

abc: 3.8126 3.8126 3.8126
angles: 90.00 90.00 90.00
With the nearest neighbours (Å) after each atom.
Atoms (fractional coordinates):
Te  0.5000  0.5000  0.5000  12 N 2.70
Al  0.0000  0.0000  0.0000  6 N 1.91
N  0.0000  0.5000  0.0000  2 Al 1.91
N  0.0000  0.0000  0.5000  2 Al 1.91
N  0.5000  0.0000  0.0000  2 Al 1.91

=====

No. 11
# AlTeN2

Crystalline AlTeN2 at its relaxed geometry (GGA-PBE, the Alexandria database).

Output
Raw formation energy, eV/f.u.: 0.17
Energy above the most stable polymorph in this dataset, kJ per mole of atoms: 0.00
Total magnetization, μB/f.u.: 0.0
Calculated volume, Å³ per cell: 51.6
Space-group type: R-3m

abc: 6.3310 6.3310 6.3310
angles: 28.67 28.67 28.67
With the nearest neighbours (Å) after each atom.
Atoms (fractional coordinates):
Te  0.0000  0.0000  0.0000  2 N 2.06
Al  0.5000  0.5000  0.5000  6 N 2.06
N  0.8868  0.8868  0.8868  3 Al 2.06, 1 Te 2.06
N  0.1132  0.1132  0.1132  3 Al 2.06, 1 Te 2.06

=====

No. 12
# AlTe2N2

Crystalline AlTe2N2 at its relaxed geometry (GGA-PBE, the Alexandria database).

Output
Raw formation energy, eV/f.u.: 6.51
Energy above the most stable polymorph in this dataset, kJ per mole of atoms: 32.60
Total magnetization, μB/f.u.: 1.9
Calculated volume, Å³ per cell: 109.9
Space-group type: P4/mmm

abc: 5.6712 5.6712 3.4181
angles: 90.00 90.00 90.00
With the nearest neighbours (Å) after each atom.
Atoms (fractional coordinates):
Te  0.0000  0.5000  0.0000  2 Al 2.84
Te  0.5000  0.0000  0.0000  2 Al 2.84
Al  0.0000  0.0000  0.0000  2 N 1.71
N  0.5000  0.5000  0.5000  8 Te 3.31, 2 N 3.42
N  0.0000  0.0000  0.5000  2 Al 1.71